{"formula": "LiZrP2S", "functional": "PBE", "state": "relaxed", "raw_formation_energy_kj_per_mol_fu": 65, "space_group": "P4/mmm", "lattice": [[-2.366, -2.994, 1.445], [3.167, -2.570, -0.140], [1.244, 1.279, 4.686]], "species": ["Li", "P", "P", "S", "Zr"], "frac_coords": [[0.000, 0.000, 0.000], [0.000, 0.500, 0.000], [0.500, 0.000, 0.000], [0.000, 0.000, 0.500], [0.500, 0.500, 0.500]]}